Entry from the Alexandria database: a relaxed structure of Sr2Fe2O (GGA+U).

- VASP energy (eV per atom) = -4.164
- spin magnetization (μB/f.u.) = 6.16
- DOS(E_F) (states/eV per atom) = 0.1864
- crystal system = tetragonal

Structure (CIF):
```
data_Sr2Fe2O
_space_group_name_H-M_alt 'I 4/m m m'
_space_group_IT_number 139
_space_group_name_Hall '-I 4 2'
_cell_length_a 3.466
_cell_length_b 3.466
_cell_length_c 17.924
_cell_angle_alpha 90.00
_cell_angle_beta 90.00
_cell_angle_gamma 90.00
loop_
_atom_site_label
_atom_site_type_symbol
_atom_site_fract_x
_atom_site_fract_y
_atom_site_fract_z
Sr1 Sr 0.000 0.000 0.086
Fe1 Fe 0.000 0.500 0.250
O1 O 0.000 0.000 0.500
```